(1)
Entry from Alexandria: an optimized crystal structure of Er2IrPt (PBE-GGA).

Structure (POSCAR):
```
Er2IrPt
1.0
2.0056 1.1580 6.5326
-2.0056 1.1580 6.5326
0.0000 -2.3159 6.5326
Er Ir Pt
2 1 1
Direct
0.2464 0.2464 0.2464
0.7536 0.7536 0.7536
0.5000 0.5000 0.5000
0.0000 0.0000 0.0000
```

Output
As for the formation energy: -0.83 eV per atom. Its density of states at the Fermi level is 2.16 states/eV per cell. The electronic total energy is -6.838 eV per atom.

---

(2)
Entry from Alexandria: an optimized crystal structure of Er8Ir3Pt2 (PBE-GGA).

Structure (POSCAR):
```
Er8Ir3Pt2
1.0
4.8136 -6.8254 0.0000
4.8136 6.8254 0.0000
0.0000 0.0000 4.7818
Er Ir Pt
8 3 2
Direct
0.1204 0.8796 0.0000
0.1285 0.3721 0.5000
0.3721 0.1285 0.5000
0.3764 0.6236 0.0000
0.6236 0.3764 0.0000
0.6279 0.8715 0.5000
0.8715 0.6279 0.5000
0.8796 0.1204 0.0000
0.2497 0.2497 0.0000
0.5000 0.5000 0.5000
0.7503 0.7503 0.0000
0.2482 0.7518 0.5000
0.7518 0.2482 0.5000
```

Output
As for the formation energy: -0.90 eV per atom. Its density of states at the Fermi level is 8.38 states/eV per cell. The electronic total energy is -6.680 eV per atom.

---

(3)
Entry from Alexandria: an optimized crystal structure of Er2Si4Ir3Pt (PBE-GGA).

Structure (POSCAR):
```
Er2Si4Ir3Pt
1.0
4.0883 0.0000 0.0000
0.0000 4.0883 0.0000
0.0000 0.0000 10.0413
Er Si Ir Pt
2 4 3 1
Direct
0.0000 0.5000 0.2415
0.5000 0.0000 0.7585
0.0000 0.0000 0.0000
0.0000 0.5000 0.6376
0.5000 0.0000 0.3624
0.5000 0.5000 0.0000
0.0000 0.5000 0.8713
0.5000 0.0000 0.1287
0.5000 0.5000 0.5000
0.0000 0.0000 0.5000
```

Output
Its density of states at the Fermi level is 5.38 states/eV per cell. Its formation energy (no corrections) is -10.43 eV/f.u. The electronic total energy is -7.387 eV per atom.

---

(4)
Entry from Alexandria: an optimized crystal structure of SmErIrPt (PBE-GGA).

Structure (POSCAR):
```
SmErIrPt
1.0
0.0000 3.4833 3.4833
3.4833 0.0000 3.4833
3.4833 3.4833 0.0000
Sm Er Ir Pt
1 1 1 1
Direct
0.0000 0.0000 0.0000
0.5000 0.5000 0.5000
0.2500 0.2500 0.2500
0.7500 0.7500 0.7500
```

Output
As for the formation energy: -0.97 eV per atom. Its density of states at the Fermi level is 1.81 states/eV per cell. The electronic total energy is -7.012 eV per atom.

---

(5)
Entry from Alexandria: an optimized crystal structure of TbErIrPt (PBE-GGA).

Structure (POSCAR):
```
TbErIrPt
1.0
0.0000 3.4520 3.4520
3.4520 0.0000 3.4520
3.4520 3.4520 0.0000
Tb Er Ir Pt
1 1 1 1
Direct
0.0000 0.0000 0.0000
0.5000 0.5000 0.5000
0.2500 0.2500 0.2500
0.7500 0.7500 0.7500
```

Output
As for the formation energy: -1.03 eV per atom. Its energy above the most stable polymorph in this dataset is 16.7 meV/atom. Its density of states at the Fermi level is 1.67 states/eV per cell. The electronic total energy is -7.057 eV per atom.

---

(6)
Entry from Alexandria: an optimized crystal structure of TbErIrPt (PBE-GGA).

Structure (POSCAR):
```
TbErIrPt
1.0
3.4488 0.0000 0.0000
0.0000 3.4488 0.0000
0.0000 0.0000 6.9221
Tb Er Ir Pt
1 1 1 1
Direct
0.0000 0.0000 0.0000
0.0000 0.0000 0.5153
0.5000 0.5000 0.7533
0.5000 0.5000 0.2641
```

Output
As for the formation energy: -1.05 eV per atom. Its energy above the most stable polymorph in this dataset is 0.0 meV/atom. Its density of states at the Fermi level is 1.51 states/eV per cell. The electronic total energy is -7.073 eV per atom.

---

(7)
Entry from Alexandria: an optimized crystal structure of ErTmIrPt (PBE-GGA).

Structure (POSCAR):
```
ErTmIrPt
1.0
0.0000 3.4210 3.4210
3.4210 0.0000 3.4210
3.4210 3.4210 0.0000
Er Tm Ir Pt
1 1 1 1
Direct
0.0000 0.0000 0.0000
0.5000 0.5000 0.5000
0.7500 0.7500 0.7500
0.2500 0.2500 0.2500
```

Output
As for the formation energy: -1.09 eV per atom. Its energy above the most stable polymorph in this dataset is 14.8 meV/atom. Its density of states at the Fermi level is 2.01 states/eV per cell. The electronic total energy is -7.069 eV per atom.

---

(8)
Entry from Alexandria: an optimized crystal structure of ErTmIrPt (PBE-GGA).

Structure (POSCAR):
```
ErTmIrPt
1.0
3.4150 0.0000 0.0000
0.0000 3.4150 0.0000
0.0000 0.0000 6.8690
Er Tm Ir Pt
1 1 1 1
Direct
0.0000 0.0000 0.0000
0.0000 0.0000 0.5146
0.5000 0.5000 0.7559
0.5000 0.5000 0.2594
```

Output
As for the formation energy: -1.10 eV per atom. Its energy above the most stable polymorph in this dataset is 0.0 meV/atom. Its density of states at the Fermi level is 1.89 states/eV per cell. The electronic total energy is -7.084 eV per atom.

---

(9)
Entry from Alexandria: an optimized crystal structure of YErIrPt (PBE-GGA).

Structure (POSCAR):
```
YErIrPt
1.0
0.0000 3.4484 3.4484
3.4484 0.0000 3.4484
3.4484 3.4484 0.0000
Y Er Ir Pt
1 1 1 1
Direct
0.0000 0.0000 0.0000
0.5000 0.5000 0.5000
0.2500 0.2500 0.2500
0.7500 0.7500 0.7500
```

Output
As for the formation energy: -1.03 eV per atom. Its density of states at the Fermi level is 1.76 states/eV per cell. The electronic total energy is -7.514 eV per atom.

---

(10)
Entry from Alexandria: an optimized crystal structure of ErZrIrPt (PBE-GGA).

Structure (POSCAR):
```
ErZrIrPt
1.0
0.0000 3.3823 3.3823
3.3823 0.0000 3.3823
3.3823 3.3823 0.0000
Er Zr Ir Pt
1 1 1 1
Direct
0.0000 0.0000 0.0000
0.5000 0.5000 0.5000
0.2500 0.2500 0.2500
0.7500 0.7500 0.7500
```

Output
As for the formation energy: -0.92 eV per atom. Its density of states at the Fermi level is 4.48 states/eV per cell. The electronic total energy is -7.926 eV per atom.

---

(11)
Entry from Alexandria: an optimized crystal structure of Er2PuIr2 (PBE-GGA).

Structure (POSCAR):
```
Er2PuIr2
1.0
5.5746 0.0000 0.0000
0.0000 4.2776 0.0000
-0.9974 0.0000 10.2177
Er Pu Ir
4 2 4
Direct
0.1132 0.2500 0.3794
0.2489 0.2500 0.0351
0.7511 0.7500 0.9649
0.8868 0.7500 0.6206
0.3913 0.2500 0.7081
0.6087 0.7500 0.2919
0.2403 0.7500 0.8565
0.3438 0.7500 0.5317
0.6562 0.2500 0.4683
0.7597 0.2500 0.1435
```

Output
As for the formation energy: -0.62 eV per atom. Its density of states at the Fermi level is 18.98 states/eV per cell. The electronic total energy is -8.854 eV per atom.

---

(12)
Entry from Alexandria: an optimized crystal structure of Er2PuIr (PBE-GGA).

Structure (POSCAR):
```
Er2PuIr
1.0
3.3989 0.0000 0.0000
0.0000 3.3989 0.0000
0.0000 0.0000 8.6348
Er Pu Ir
2 1 1
Direct
0.0000 0.0000 0.1921
0.0000 0.0000 0.8079
0.5000 0.5000 0.5000
0.5000 0.5000 0.0000
```

Output
As for the formation energy: -0.38 eV per atom. Its density of states at the Fermi level is 7.75 states/eV per cell. The electronic total energy is -8.459 eV per atom.

---

(13)
Entry from Alexandria: an optimized crystal structure of ErPuIr4 (PBE-GGA).

Structure (POSCAR):
```
ErPuIr4
1.0
0.0000 3.7833 3.7833
3.7833 0.0000 3.7833
3.7833 3.7833 0.0000
Er Pu Ir
1 1 4
Direct
0.0000 0.0000 0.0000
0.7500 0.7500 0.7500
0.3750 0.3750 0.3750
0.3750 0.3750 0.8750
0.3750 0.8750 0.3750
0.8750 0.3750 0.3750
```

Output
As for the formation energy: -0.68 eV per atom. Its density of states at the Fermi level is 11.60 states/eV per cell. The electronic total energy is -9.739 eV per atom.

---

(14)
Entry from Alexandria: an optimized crystal structure of Er5PuIr4 (PBE-GGA).

Structure (POSCAR):
```
Er5PuIr4
1.0
7.2806 -2.3596 0.0000
7.2806 2.3596 0.0000
-0.1053 0.0000 6.7578
Er Pu Ir
5 1 4
Direct
0.0000 0.0000 0.0000
0.3319 0.3319 0.4986
0.3328 0.3328 0.9957
0.6672 0.6672 0.0043
0.6681 0.6681 0.5014
0.0000 0.0000 0.5000
0.1656 0.1656 0.7493
0.4958 0.4958 0.7477
0.5042 0.5042 0.2523
0.8344 0.8344 0.2507
```

Output
As for the formation energy: -0.73 eV per atom. Its density of states at the Fermi level is 12.56 states/eV per cell. The electronic total energy is -7.988 eV per atom.

---

(15)
Entry from Alexandria: an optimized crystal structure of ErPu5Ir5 (PBE-GGA).

Structure (POSCAR):
```
ErPu5Ir5
1.0
6.2206 -2.7802 0.0000
6.2206 2.7802 0.0000
-2.5399 0.0000 7.6073
Er Pu Ir
1 5 5
Direct
0.0000 0.0000 0.0000
0.0000 0.0000 0.5000
0.3322 0.3322 0.1587
0.3396 0.3396 0.6720
0.6604 0.6604 0.3280
0.6678 0.6678 0.8413
0.1662 0.1662 0.8206
0.1782 0.1782 0.3465
0.5000 0.5000 0.0000
0.8218 0.8218 0.6535
0.8338 0.8338 0.1794
```

Output
As for the formation energy: -0.31 eV per atom. Its density of states at the Fermi level is 47.49 states/eV per cell. The electronic total energy is -11.270 eV per atom.

---

(16)
Entry from Alexandria: an optimized crystal structure of ErPu2Ir (PBE-GGA).

Structure (POSCAR):
```
ErPu2Ir
1.0
1.7952 1.0365 9.9983
-1.7952 1.0365 9.9983
0.0000 -2.0729 9.9983
Er Pu Ir
1 2 1
Direct
0.0000 0.0000 0.0000
0.1053 0.1053 0.1053
0.8947 0.8947 0.8947
0.5000 0.5000 0.5000
```

Output
As for the formation energy: 0.13 eV per atom. Its density of states at the Fermi level is 15.42 states/eV per cell. The electronic total energy is -10.388 eV per atom.

---

(17)
Entry from Alexandria: an optimized crystal structure of Er2PuIr9 (PBE-GGA).

Structure (POSCAR):
```
Er2PuIr9
1.0
2.6476 1.5286 8.7572
-2.6476 1.5286 8.7572
0.0000 -3.0571 8.7572
Er Pu Ir
2 1 9
Direct
0.1396 0.1396 0.1396
0.8604 0.8604 0.8604
0.0000 0.0000 0.0000
0.0824 0.5828 0.5828
0.3333 0.3333 0.3333
0.4172 0.4172 0.9176
0.4172 0.9176 0.4172
0.5000 0.5000 0.5000
0.5828 0.0824 0.5828
0.5828 0.5828 0.0824
0.6667 0.6667 0.6667
0.9176 0.4172 0.4172
```

Output
As for the formation energy: -0.54 eV per atom. Its density of states at the Fermi level is 18.82 states/eV per cell. The electronic total energy is -9.138 eV per atom.

---

(18)
Entry from Alexandria: an optimized crystal structure of ErPuIrRu (PBE-GGA).

Structure (POSCAR):
```
ErPuIrRu
1.0
0.0000 3.3924 3.3924
3.3924 0.0000 3.3924
3.3924 3.3924 0.0000
Er Pu Ir Ru
1 1 1 1
Direct
0.0000 0.0000 0.0000
0.5000 0.5000 0.5000
0.2500 0.2500 0.2500
0.7500 0.7500 0.7500
```

Output
As for the formation energy: -0.46 eV per atom. Its density of states at the Fermi level is 6.43 states/eV per cell. The electronic total energy is -9.722 eV per atom.

---

(19)
Entry from Alexandria: an optimized crystal structure of ErPuTcIr (PBE-GGA).

Structure (POSCAR):
```
ErPuTcIr
1.0
0.0000 3.3900 3.3900
3.3900 0.0000 3.3900
3.3900 3.3900 0.0000
Er Pu Tc Ir
1 1 1 1
Direct
0.0000 0.0000 0.0000
0.5000 0.5000 0.5000
0.2500 0.2500 0.2500
0.7500 0.7500 0.7500
```

Output
As for the formation energy: -0.33 eV per atom. Its density of states at the Fermi level is 4.12 states/eV per cell. The electronic total energy is -9.861 eV per atom.

---

(20)
Entry from Alexandria: an optimized crystal structure of Er3Ir2Rh (PBE-GGA).

Structure (POSCAR):
```
Er3Ir2Rh
1.0
3.4011 0.0000 0.0000
0.0000 3.4011 0.0000
0.0000 0.0000 10.1690
Er Ir Rh
3 2 1
Direct
0.0000 0.0000 0.0000
0.0000 0.0000 0.3321
0.0000 0.0000 0.6679
0.5000 0.5000 0.1679
0.5000 0.5000 0.8321
0.5000 0.5000 0.5000
```

Output
As for the formation energy: -0.90 eV per atom. Its energy above the most stable polymorph in this dataset is 7.8 meV/atom. Its density of states at the Fermi level is 3.66 states/eV per cell. The electronic total energy is -7.361 eV per atom.